Entry from Alexandria via LeMat-Bulk: an optimized crystal structure of Al4Ni15Sb (PBEsol).

```
20
Lattice="-2.203 1.571 2.311 -0.381 -3.085 1.734 13.724 4.093 10.300" Properties=species:S:1:pos:R:3 pbc="T T T"
Ni 6.671 0.504 6.017
Al 2.836 0.846 2.129
Al 8.209 2.448 6.161
Ni 1.281 -1.104 1.971
Ni 9.620 2.498 10.212
Ni -1.292 -0.757 2.023
Al 10.888 3.247 8.171
Ni 5.760 2.832 6.306
Ni 0.370 1.224 2.260
Sb 0.000 0.000 0.000
Ni 12.062 2.112 10.063
Ni 4.223 0.888 6.162
Ni 1.520 0.082 4.133
Ni 8.451 3.635 8.325
Ni 6.917 1.692 8.183
Ni 3.981 -0.298 3.998
Ni 9.362 1.307 8.036
Ni 11.151 4.440 10.352
Ni 3.070 2.030 4.287
Al 5.515 1.645 4.139
```

Calculated values
Calculated volume, Å³/atom: 11.173
Symmetry: P4/mmm (123)
Calculated total energy, eV/cell: -121.2


Entry from Alexandria via LeMat-Bulk: an optimized crystal structure of Al3NiSb (PBEsol).

```
5
Lattice="-0.178 -4.508 0.526 4.537 -0.191 -0.100 0.122 0.521 4.510" Properties=species:S:1:pos:R:3 pbc="T T T"
Al 2.268 -0.096 -0.050
Sb 2.240 -2.089 2.468
Al -0.089 -2.254 0.263
Ni 0.000 0.000 0.000
Al 0.061 0.261 2.255
```

Calculated values
Calculated volume, Å³/atom: 18.741
Symmetry: Pm-3m (221)
Calculated total energy, eV/cell: -23.0


Entry from Alexandria via LeMat-Bulk: an optimized crystal structure of Sc4AlNi (PBEsol).

```
6
Lattice="-0.745 5.366 0.997 -3.052 1.606 4.296 2.406 2.351 4.363" Properties=species:S:1:pos:R:3 pbc="T T T"
Sc -0.522 3.496 3.621
Sc 0.681 4.672 5.802
Al -1.043 6.992 7.242
Sc -2.047 4.299 5.769
Ni 0.000 0.000 0.000
Sc -0.894 6.179 4.120
```

Calculated values
Calculated volume, Å³/atom: 19.703
Symmetry: F-43m (216)
DFT formation energy, eV/atom: 0.3911


Entry from Alexandria via LeMat-Bulk: an optimized crystal structure of Sc6Al16Ni7 (PBEsol).

```
29
Lattice="-1.425 -8.274 1.198 2.838 -3.819 7.020 -5.478 -2.541 5.955" Properties=species:S:1:pos:R:3 pbc="T T T"
Al 0.525 -7.424 9.394
Al -5.067 -10.892 8.809
Ni 1.419 -1.910 3.510
Al -2.834 -8.559 11.858
Ni 0.707 -6.047 4.109
Al -4.993 -6.576 8.687
Al -2.304 -10.380 5.530
Sc -3.379 -5.451 6.644
Al -0.712 -11.561 9.367
Al -2.707 -9.745 9.438
Al -3.581 -12.892 12.485
Ni -0.713 -4.137 0.599
Ni -2.739 -1.271 2.978
Sc -0.686 -9.184 7.529
Al -1.230 -6.076 2.315
Sc -2.270 -6.943 9.388
Al -0.484 -1.743 1.688
Sc -3.936 -8.684 7.113
Al -1.761 -4.255 8.643
Ni -3.451 -5.408 3.576
Sc -0.129 -5.950 7.061
Al -1.358 -4.890 4.735
Al 1.002 -3.743 5.364
Al -4.590 -7.211 4.779
Ni 0.000 0.000 0.000
Al 0.928 -8.059 5.486
Al -3.353 -3.073 4.806
Ni -1.320 -3.180 6.488
Sc -1.795 -7.691 4.785
```

Calculated values
Calculated volume, Å³/atom: 14.874
Symmetry: Fm-3m (225)
DFT formation energy, eV/atom: -0.6174


Entry from Alexandria via LeMat-Bulk: an optimized crystal structure of ScAl2Ni (PBEsol).

```
4
Lattice="-3.479 -0.284 -1.449 1.489 -1.738 -3.235 -0.436 -3.658 1.764" Properties=species:S:1:pos:R:3 pbc="T T T"
Al -0.995 -1.011 -2.342
Al 0.000 0.000 0.000
Sc 0.526 -2.698 -0.736
Ni -1.958 -1.971 0.157
```

Calculated values
Calculated volume, Å³/atom: 15.293
Symmetry: Pmmm (47)
DFT formation energy, eV/atom: -0.4327


Entry from Alexandria via LeMat-Bulk: an optimized crystal structure of ScAl2Ni (PBEsol).

```
8
Lattice="3.978 0.000 0.000 -1.989 4.713 0.000 0.000 0.000 6.645" Properties=species:S:1:pos:R:3 pbc="T T T"
Ni 0.000 1.982 4.984
Sc 1.989 4.084 4.984
Sc 0.000 0.629 1.661
Al 1.989 1.382 6.307
Al 0.000 3.331 0.338
Al 0.000 3.331 2.984
Al 1.989 1.382 3.661
Ni 1.989 2.731 1.661
```

Calculated values
Calculated volume, Å³/atom: 15.572
Symmetry: Cmcm (63)
DFT formation energy, eV/atom: -0.6638


Entry from Alexandria via LeMat-Bulk: an optimized crystal structure of ScAlNi6 (PBEsol).

```
32
Lattice="-5.539 -2.003 1.956 4.481 -2.401 3.561 -0.683 7.986 6.243" Properties=species:S:1:pos:R:3 pbc="T T T"
Sc -0.514 6.010 4.698
Ni -0.114 3.705 9.783
Al -0.698 -0.224 4.305
Ni -2.145 5.933 6.710
Ni -0.529 -2.202 2.758
Ni -1.761 1.873 3.538
Ni 0.021 1.710 8.222
Ni 0.000 0.000 0.000
Ni -2.656 3.806 9.376
Ni -2.138 -2.250 4.642
Ni -1.938 3.941 5.154
Ni 1.433 3.746 7.882
Ni -3.174 -0.163 3.878
Sc -0.169 1.976 1.545
Ni -2.451 1.808 7.826
Al -3.120 -2.099 2.343
Ni -0.341 3.993 3.121
Ni 0.197 -0.358 6.606
Ni 0.533 3.842 5.550
Ni 1.784 -0.360 4.672
Al -1.043 3.806 7.455
Sc -3.423 1.893 5.471
Ni 0.397 5.832 7.117
Ni 0.915 -0.223 2.384
Ni -2.274 -0.260 6.210
Ni 0.710 1.775 3.933
Ni -3.525 3.942 7.088
Sc 1.682 1.690 6.288
Ni 0.404 -2.351 5.049
Al 2.061 -2.304 3.173
Ni -1.627 -0.122 1.977
Ni -0.870 1.791 5.880
```

Calculated values
Calculated volume, Å³/atom: 11.506
Symmetry: Cmmm (65)
DFT formation energy, eV/atom: -0.4199


Entry from Alexandria via LeMat-Bulk: an optimized crystal structure of YScAlNi2 (PBEsol).

```
5
Lattice="-0.092 3.819 -2.162 -1.405 -2.074 -3.604 -4.816 0.715 1.467" Properties=species:S:1:pos:R:3 pbc="T T T"
Ni -0.703 -1.037 -1.802
Ni -0.046 1.909 -1.081
Y -2.408 0.357 0.733
Sc -3.157 1.230 -2.149
Al 0.000 0.000 0.000
```

Calculated values
Calculated volume, Å³/atom: 19.589
Symmetry: P4/mmm (123)
DFT formation energy, eV/atom: 0.5013


Entry from Alexandria via LeMat-Bulk: an optimized crystal structure of AlNi2Se (PBEsol).

```
4
Lattice="-1.770 3.735 0.590 -2.491 0.634 3.291 1.271 2.440 3.141" Properties=species:S:1:pos:R:3 pbc="T T T"
Ni -0.748 1.702 1.755
Ni -2.243 5.107 5.266
Se -1.495 3.404 3.511
Al 0.000 0.000 0.000
```

Calculated values
Calculated volume, Å³/atom: 12.868
Symmetry: Fm-3m (225)
Calculated total energy, eV/cell: -20.7


Entry from Alexandria via LeMat-Bulk: an optimized crystal structure of AlNi2Se (PBEsol).

```
4
Lattice="3.124 0.000 0.000 0.000 3.943 0.000 0.000 0.000 4.266" Properties=species:S:1:pos:R:3 pbc="T T T"
Se 0.000 2.003 0.000
Al 1.562 2.888 2.133
Ni 1.562 0.125 0.000
Ni 0.000 0.899 2.133
```

Calculated values
Calculated volume, Å³/atom: 13.139
Symmetry: Pmm2 (25)
Calculated total energy, eV/cell: -21.1


Entry from Alexandria via LeMat-Bulk: an optimized crystal structure of AlNi2Se (PBEsol).

```
4
Lattice="-1.149 -0.472 2.636 -2.567 -1.217 -2.948 2.748 -3.892 0.501" Properties=species:S:1:pos:R:3 pbc="T T T"
Se 1.374 -1.946 0.250
Al -0.575 -0.236 1.318
Ni -0.060 -3.946 0.877
Ni -0.909 -1.635 -0.689
```

Calculated values
Calculated volume, Å³/atom: 13.065
Symmetry: C2/m (12)
Calculated total energy, eV/cell: -21.0


Entry from Alexandria via LeMat-Bulk: an optimized crystal structure of AlNi2Se (PBEsol).

```
4
Lattice="-3.038 0.874 -0.919 -0.412 -3.429 -1.897 -1.461 -1.636 3.274" Properties=species:S:1:pos:R:3 pbc="T T T"
Ni -0.730 -0.818 1.637
Ni -0.206 -1.715 -0.949
Se -2.455 -2.096 0.229
Al -1.519 0.437 -0.460
```

Calculated values
Calculated volume, Å³/atom: 12.779
Symmetry: P4/mmm (123)
Calculated total energy, eV/cell: -21.0


Entry from Alexandria via LeMat-Bulk: an optimized crystal structure of AlNi2Se (PBEsol).

```
4
Lattice="-2.336 1.982 1.112 -0.631 -2.098 2.413 3.298 2.287 2.850" Properties=species:S:1:pos:R:3 pbc="T T T"
Ni 3.225 2.236 2.786
Ni -0.565 0.579 2.556
Al 1.124 1.750 4.016
Se 1.496 1.037 1.292
```

Calculated values
Calculated volume, Å³/atom: 13.070
Symmetry: P4mm (99)
Calculated total energy, eV/cell: -21.3


Entry from Alexandria via LeMat-Bulk: an optimized crystal structure of Al2Si2Ni (PBEsol).

```
10
Lattice="-0.623 1.084 3.617 -6.014 0.990 -1.333 -1.313 -5.902 1.542" Properties=species:S:1:pos:R:3 pbc="T T T"
Si -5.338 -3.830 2.252
Si -2.069 -3.146 2.611
Al -5.946 -3.024 -0.118
Ni -3.664 -2.456 0.104
Si -5.882 -0.681 1.215
Si -2.613 0.002 1.574
Al -3.190 -4.649 0.843
Al -1.382 -1.887 0.327
Ni 0.000 0.000 0.000
Al -4.138 -0.263 -0.634
```

Calculated values
Calculated volume, Å³/atom: 14.899
Symmetry: P4/mbm (127)
Calculated total energy, eV/cell: -49.6


Entry from Alexandria via LeMat-Bulk: an optimized crystal structure of AlSiNi (PBEsol).

```
9
Lattice="-0.928 -0.879 -2.227 6.530 -2.647 -1.676 -4.757 -4.106 3.602" Properties=species:S:1:pos:R:3 pbc="T T T"
Si 2.768 -3.133 0.083
Ni 0.581 -4.419 0.021
Si -0.994 -3.620 1.843
Si -0.464 -0.439 -1.113
Ni 2.218 -1.527 -1.802
Al 0.524 -1.995 0.569
Al -3.352 -2.893 2.538
Al 4.601 -1.865 -1.181
Ni -2.417 -2.126 0.366
```

Calculated values
Calculated volume, Å³/atom: 12.961
Symmetry: P-62m (189)
Calculated total energy, eV/cell: -48.8


Entry from Alexandria via LeMat-Bulk: an optimized crystal structure of Al4SiNi (PBEsol).

```
6
Lattice="-1.641 4.774 -0.651 -4.349 1.514 2.167 0.102 3.279 3.891" Properties=species:S:1:pos:R:3 pbc="T T T"
Al -2.209 3.590 2.029
Si 0.000 0.000 0.000
Al -2.158 5.227 3.971
Al -3.028 5.972 1.704
Al -4.380 4.346 3.110
Ni -4.416 7.175 4.055
```

Calculated values
Calculated volume, Å³/atom: 15.540
Symmetry: F-43m (216)
Calculated total energy, eV/cell: -26.1


Entry from Alexandria via LeMat-Bulk: an optimized crystal structure of AlSiNi (PBEsol).

```
12
Lattice="-1.638 -0.197 -4.303 5.063 0.086 -3.530 0.809 -5.897 -1.637" Properties=species:S:1:pos:R:3 pbc="T T T"
Al 3.310 -3.505 -7.429
Ni 2.518 -3.988 -3.150
Al 0.923 -2.503 -2.040
Si 3.906 -1.156 -6.257
Si 1.779 -4.147 -5.310
Si 2.454 -1.861 -4.160
Al 3.859 -5.408 -4.623
Al 0.374 -0.600 -4.847
Ni 1.715 -2.019 -6.320
Ni 4.645 -0.997 -4.097
Si 0.327 -4.852 -3.212
Ni -0.411 -5.011 -5.372
```

Calculated values
Calculated volume, Å³/atom: 13.501
Symmetry: P2_1/m (11)
Calculated total energy, eV/cell: -69.7


Entry from Alexandria via LeMat-Bulk: an optimized crystal structure of AlSiNi6 (PBEsol).

```
8
Lattice="3.491 0.000 0.000 0.000 3.491 0.000 0.000 0.000 6.957" Properties=species:S:1:pos:R:3 pbc="T T T"
Ni 1.745 0.000 5.169
Ni 1.745 0.000 1.788
Ni 0.000 1.745 1.788
Al 0.000 0.000 0.000
Ni 1.745 1.745 0.000
Si 0.000 0.000 3.479
Ni 0.000 1.745 5.169
Ni 1.745 1.745 3.479
```

Calculated values
Calculated volume, Å³/atom: 10.596
Symmetry: P4/mmm (123)
Calculated total energy, eV/cell: -50.7


Entry from Alexandria via LeMat-Bulk: an optimized crystal structure of Al2Si2Ni (PBEsol).

```
5
Lattice="-2.063 -3.087 -0.602 2.343 -2.009 2.270 -3.165 3.753 3.355" Properties=species:S:1:pos:R:3 pbc="T T T"
Ni -1.032 -1.543 -0.301
Si -2.147 -1.636 4.001
Al -2.164 0.863 2.997
Si -0.738 0.294 1.023
Al -0.721 -2.205 2.026
```

Calculated values
Calculated volume, Å³/atom: 15.293
Symmetry: Immm (71)
Calculated total energy, eV/cell: -27.2


Entry from Alexandria via LeMat-Bulk: an optimized crystal structure of AlSi4Ni (PBEsol).

```
6
Lattice="4.126 -0.302 0.000 -1.563 3.831 0.000 0.000 0.000 5.901" Properties=species:S:1:pos:R:3 pbc="T T T"
Al -1.261 3.611 2.950
Si 2.324 1.007 4.130
Si 0.451 2.368 4.715
Si 2.324 1.007 1.771
Si 0.451 2.368 1.186
Ni 3.399 0.226 0.000
```

Calculated values
Calculated volume, Å³/atom: 15.081
Symmetry: Amm2 (38)
Calculated total energy, eV/cell: -32.7